No. 1
The following is a GGA-PBE calculation of an optimized crystal structure of Al3P, from Alexandria.

a b c (Å): 2.7841 4.3399 5.4133
angles (deg): 90.00 99.55 90.00
Closest atoms and distances in Å follow each position.
Atoms (fractional coordinates):
1 Al 0.0000 0.0000 0.0000  2 P 2.71, 10 Al 2.78-3.02
2 Al 0.3502 0.5000 0.7410  2 P 2.63, 6 Al 2.78-2.87
3 Al 0.6498 0.5000 0.2590  2 P 2.63, 6 Al 2.78-2.87
4 P 0.0000 0.0000 0.5000  6 Al 2.63-2.71, 2 P 2.78

Summary:
Its calculated total energy is -4.076 eV per atom. As for the space-group type: P2/m, No. 10. As for the crystal system: monoclinic. The calculation puts the offset from the most stable computed form at 143 meV per atom. Its volume is 65 Å³ per cell. The formation energy is 0.08 eV per atom.

No. 2
The following is a GGA-PBE calculation of an optimized crystal structure of Al3P, from Alexandria.

a b c (Å): 6.3712 6.3712 6.3712
angles (deg): 90.00 90.00 90.00
Closest atoms and distances in Å follow each position.
Atoms (fractional coordinates):
1 Al 0.0000 0.0000 0.0000  8 Al 2.76
2 Al 0.0000 0.5000 0.5000  8 Al 2.76
3 Al 0.2500 0.2500 0.2500  4 P 2.76, 4 Al 2.76
4 Al 0.2500 0.2500 0.7500  4 Al 2.76, 4 P 2.76
5 Al 0.2500 0.7500 0.2500  4 Al 2.76, 4 P 2.76
6 Al 0.2500 0.7500 0.7500  4 P 2.76, 4 Al 2.76
7 Al 0.5000 0.0000 0.5000  8 Al 2.76
8 Al 0.5000 0.5000 0.0000  8 Al 2.76
9 Al 0.7500 0.2500 0.2500  4 Al 2.76, 4 P 2.76
10 Al 0.7500 0.2500 0.7500  4 P 2.76, 4 Al 2.76
11 Al 0.7500 0.7500 0.2500  4 P 2.76, 4 Al 2.76
12 Al 0.7500 0.7500 0.7500  4 Al 2.76, 4 P 2.76
13 P 0.0000 0.0000 0.5000  8 Al 2.76
14 P 0.0000 0.5000 0.0000  8 Al 2.76
15 P 0.5000 0.0000 0.0000  8 Al 2.76
16 P 0.5000 0.5000 0.5000  8 Al 2.76

Summary:
Its calculated total energy is -3.972 eV per atom. As for the space-group type: Fm-3m, No. 225. As for the crystal system: cubic. The calculation puts the offset from the most stable computed form at 247 meV per atom. Its volume is 259 Å³ per cell. The formation energy is 0.19 eV per atom.

No. 3
The following is a GGA-PBE calculation of an optimized crystal structure of AlP, from Alexandria.

a b c (Å): 3.1468 4.4602 8.6090
angles (deg): 90.00 90.00 90.00
Closest atoms and distances in Å follow each position.
Atoms (fractional coordinates):
1 Al 0.0000 0.2500 0.1055  6 P 2.68-2.75, 4 Al 2.88-2.94
2 Al 0.0000 0.7500 0.8945  6 P 2.68-2.75, 4 Al 2.88-2.94
3 Al 0.5000 0.2500 0.3945  6 P 2.68-2.75, 4 Al 2.88-2.94
4 Al 0.5000 0.7500 0.6055  6 P 2.68-2.75, 4 Al 2.88-2.94
5 P 0.0000 0.2500 0.6464  2 P 2.38
6 P 0.0000 0.7500 0.3536  2 P 2.38
7 P 0.5000 0.2500 0.8536  2 P 2.38
8 P 0.5000 0.7500 0.1464  2 P 2.38

Summary:
Its calculated total energy is -4.455 eV per atom. As for the space-group type: Imma, No. 74. As for the crystal system: orthorhombic. Its volume is 121 Å³ per cell. The formation energy is 0.12 eV per atom.

No. 4
The following is a GGA-PBE calculation of an optimized crystal structure of Al3P4, from Alexandria.

a b c (Å): 6.1308 6.1308 3.9309
angles (deg): 90.00 90.00 120.00
Closest atoms and distances in Å follow each position.
Atoms (fractional coordinates):
1 Al 0.0000 0.5000 0.0000  4 P 2.64
2 Al 0.5000 0.0000 0.0000  4 P 2.64
3 Al 0.5000 0.5000 0.0000  4 P 2.64
4 P 0.0000 0.0000 0.2524  2 P 1.95-1.98
5 P 0.0000 0.0000 0.7476  2 P 1.95-1.98
6 P 0.3333 0.6667 0.5000  6 Al 2.64
7 P 0.6667 0.3333 0.5000  6 Al 2.64

Summary:
Its calculated total energy is -4.290 eV per atom. As for the space-group type: P6/mmm, No. 191. As for the crystal system: hexagonal. The calculation puts the offset from the most stable computed form at 157 meV per atom. Its volume is 128 Å³ per cell. The formation energy is 0.41 eV per atom.

No. 5
The following is a GGA-PBE calculation of an optimized crystal structure of AlP, from Alexandria.

a b c (Å): 6.6839 6.6839 3.9125
angles (deg): 90.00 90.00 90.00
Closest atoms and distances in Å follow each position.
Atoms (fractional coordinates):
1 Al 0.1726 0.1726 0.0000  4 P 2.37-2.40
2 Al 0.3274 0.6726 0.5000  4 P 2.37-2.40
3 Al 0.6726 0.3274 0.5000  4 P 2.37-2.40
4 Al 0.8274 0.8274 0.0000  4 P 2.37-2.40
5 P 0.1863 0.8137 0.0000  4 Al 2.37-2.40
6 P 0.3137 0.3137 0.5000  4 Al 2.37-2.40
7 P 0.6863 0.6863 0.5000  4 Al 2.37-2.40
8 P 0.8137 0.1863 0.0000  4 Al 2.37-2.40

Summary:
Its calculated total energy is -5.126 eV per atom. As for the space-group type: P4_2/mnm, No. 136. As for the crystal system: tetragonal. Its volume is 175 Å³ per cell. The formation energy is -0.55 eV per atom.

No. 6
The following is a GGA-PBE calculation of an optimized crystal structure of Al3P, from Alexandria.

a b c (Å): 4.7844 4.7844 4.7844
angles (deg): 90.00 90.00 90.00
Closest atoms and distances in Å follow each position.
Atoms (fractional coordinates):
1 Al 0.0000 0.0000 0.5000  2 P 2.39
2 Al 0.0000 0.5000 0.0000  2 P 2.39
3 Al 0.5000 0.0000 0.0000  2 P 2.39
4 P 0.0000 0.0000 0.0000  6 Al 2.39

Summary:
Its calculated total energy is -3.354 eV per atom. As for the space-group type: Pm-3m, No. 221. As for the crystal system: cubic. The calculation puts the offset from the most stable computed form at 864 meV per atom. Its volume is 110 Å³ per cell. The formation energy is 0.80 eV per atom.

Number 1: density of states at the Fermi level 1.16 states/eV/f.u.. Number 2: density of states at the Fermi level 1.38 states/eV/f.u.. Number 3: density of states at the Fermi level 0.55 states/eV/f.u.. Number 4: density of states at the Fermi level 4.31 states/eV/f.u.. Number 5: density of states at the Fermi level 0.00 states/eV/f.u.. Number 6: density of states at the Fermi level 2.81 states/eV/f.u..